#A
Crystalline VReP2S at its relaxed geometry. Source: the Alexandria database, functional PBE.

Its volume is 102 Å³ per cell. Its density of states at the Fermi level is 0.83 states/eV per atom. Its total moment is 0.69 μB/atom.

It has space group P4/mmm (No. 123), with a = 4.505 Å, b = 4.505 Å, c = 5.030 Å, α = 90.00°, β = 90.00° and γ = 90.00°. The distinct sites, in fractional coordinates, are V at (0.000, 0.000, 0.000), Re at (0.500, 0.500, 0.500), P at (0.000, 0.500, 0.500) and S at (0.500, 0.500, 0.000).

#B
Crystalline VReP2S at its relaxed geometry. Source: the Alexandria database, functional PBE.

Its volume is 91 Å³ per cell. Its density of states at the Fermi level is 0.53 states/eV per atom. Its total moment is 0.75 μB/atom.

It has space group P4/mmm (No. 123), with a = 4.591 Å, b = 4.591 Å, c = 4.334 Å, α = 90.00°, β = 90.00° and γ = 90.00°. The distinct sites, in fractional coordinates, are V at (0.000, 0.000, 0.000), Re at (0.500, 0.500, 0.500), P at (0.000, 0.500, 0.000) and S at (0.000, 0.000, 0.500).

In terms of stability, #A leads; the second structure lies 0.271 eV/atom higher.